1.
BaTlAg PBE-GGA optimized geometry; space-group type = P-6m2, No. 187; spin magnetization = 0.000 μB per atom
1.0
5.127 0.000 0.000
-2.564 4.440 0.000
0.000 0.000 4.360
Tl Ba Ag
1 1 1
Direct
0.333 0.667 0.834 Tl
0.667 0.333 0.334 Ba
0.000 0.000 0.833 Ag



2.
BaTl6Ag PBE-GGA optimized geometry; space-group type = P4/mmm, No. 123; spin magnetization = 0.000 μB per atom
1.0
-1.331 -4.848 -1.366
1.139 -1.666 4.803
-8.977 1.698 2.718
Ba Tl Ag
1 6 1
Direct
0.000 0.000 0.000 Ba
0.500 0.000 0.667 Tl
0.000 0.500 0.667 Tl
0.500 0.500 0.153 Tl
0.500 0.500 0.847 Tl
0.000 0.500 0.333 Tl
0.500 0.000 0.333 Tl
0.000 0.000 0.500 Ag



3.
Ba4TlAg3 PBE-GGA optimized geometry; space-group type = I4/mmm, No. 139; spin magnetization = 0.000 μB per atom
1.0
5.712 0.000 -1.542
-0.410 5.704 -1.517
-0.567 -0.644 9.251
Tl Ba Ag
1 4 3
Direct
0.500 0.000 0.000 Tl
0.375 0.374 0.749 Ba
0.625 0.626 0.251 Ba
0.125 0.126 0.251 Ba
0.875 0.874 0.749 Ba
0.000 0.500 0.000 Ag
0.747 0.247 0.494 Ag
0.253 0.753 0.506 Ag



4.
BaTmTlAg PBE-GGA optimized geometry; space-group type = F-43m, No. 216; spin magnetization = 0.000 μB per atom
1.0
-3.405 -3.263 -2.968
2.099 -4.123 -3.107
-0.791 -5.306 1.509
Tl Tm Ba Ag
1 1 1 1
Direct
0.250 0.250 0.250 Tl
0.000 0.000 0.000 Tm
0.500 0.500 0.500 Ba
0.750 0.750 0.750 Ag



Number 1: calculated formation energy -0.3015 eV/atom. Number 2: calculated formation energy -0.0671 eV/atom. Number 3: calculated formation energy -0.2710 eV/atom. Number 4: calculated formation energy -0.1552 eV/atom.